RbTl2WO4: optimized geometry, GGA+U.

Cell and atoms, written as POSCAR:
```
RbTl2WO4
1.0
-3.6839 3.6839 3.6273
3.6839 -3.6839 3.6273
3.6839 3.6839 -3.6273
Rb Tl W O
1 2 1 4
direct
0.0000 0.0000 0.0000 Rb
0.2500 0.7500 0.5000 Tl
0.7500 0.2500 0.5000 Tl
0.5000 0.5000 0.0000 W
0.2099 0.4917 0.0000 O
0.4917 0.2099 0.0000 O
0.5083 0.5083 0.7181 O
0.7901 0.7901 0.2819 O
```

Calculated values
calculated total energy = -44.07 eV per cell
crystal system = tetragonal
symmetry = No. 121